This record from Alexandria via LeMat-Bulk describes crystalline BaTl2W at its relaxed geometry. The functional is PBE.

The structure in POSCAR format:
```
BaTl2W
1.0
5.147 -0.004 -0.016
4.153 3.040 -0.016
0.831 0.271 7.057
Tl Ba W
2 1 1
direct
0.012 0.012 0.940
0.488 0.488 0.560
0.250 0.250 0.250
0.750 0.750 0.750
```

Values from the calculation:
* energy of formation from the pure elements: 731 meV per atom

This record from Alexandria via LeMat-Bulk describes crystalline BaTlW2 at its relaxed geometry. The functional is PBE.

The structure in POSCAR format:
```
BaTlW2
1.0
-1.510 5.415 2.267
-3.930 -4.584 0.541
1.196 -0.727 2.532
Tl Ba W
1 1 2
direct
0.000 0.500 0.500
0.500 0.000 0.500
0.000 0.000 0.000
0.500 0.500 0.000
```

Values from the calculation:
* energy of formation from the pure elements: 1665 meV per atom

This record from Alexandria via LeMat-Bulk describes crystalline BaTlW2 at its relaxed geometry. The functional is PBE.

The structure in POSCAR format:
```
BaTlW2
1.0
-7.557 -6.930 -4.410
-5.042 -8.359 -5.413
-6.128 -8.956 -2.614
Tl Ba W
1 1 2
direct
0.750 0.750 0.750
0.250 0.250 0.250
0.011 0.011 0.011
0.489 0.489 0.489
```

Values from the calculation:
* energy of formation from the pure elements: 1486 meV per atom

This record from Alexandria via LeMat-Bulk describes crystalline BaTlW2 at its relaxed geometry. The functional is PBE.

The structure in POSCAR format:
```
BaTlW2
1.0
-0.282 -2.728 3.486
6.815 1.907 2.030
-6.788 2.438 -1.456
Tl Ba W
1 1 2
direct
0.719 0.284 0.438
0.508 0.488 0.015
0.969 0.028 0.938
0.304 0.700 0.608
```

Values from the calculation:
* energy of formation from the pure elements: 756 meV per atom

This record from Alexandria via LeMat-Bulk describes crystalline BaTl2W at its relaxed geometry. The functional is PBE.

The structure in POSCAR format:
```
BaTl2W
1.0
-4.233 -1.840 -3.605
2.833 -1.077 -5.011
1.280 -1.956 5.370
Tl Ba W
2 1 1
direct
0.000 0.000 0.000
0.250 0.750 0.500
0.750 0.250 0.500
0.500 0.500 0.000
```

Values from the calculation:
* energy of formation from the pure elements: 1016 meV per atom

This record from Alexandria via LeMat-Bulk describes crystalline BaTlW2 at its relaxed geometry. The functional is PBE.

The structure in POSCAR format:
```
BaTlW2
1.0
-3.108 4.822 6.326
3.707 -5.131 5.733
2.666 1.471 5.953
Tl Ba W
2 2 4
direct
0.000 0.000 0.000
0.750 0.250 0.500
0.500 0.500 0.000
0.250 0.750 0.500
0.669 0.125 0.250
0.081 0.625 0.250
0.375 0.331 0.750
0.875 0.919 0.750
```

Values from the calculation:
* energy of formation from the pure elements: 1993 meV per atom

This record from Alexandria via LeMat-Bulk describes crystalline Ba3TlW at its relaxed geometry. The functional is PBE.

The structure in POSCAR format:
```
Ba3TlW
1.0
-0.141 -5.021 3.366
1.066 -3.335 -4.930
5.950 0.478 0.963
Tl Ba W
1 3 1
direct
0.500 0.500 0.500
0.000 0.500 0.000
0.000 0.000 0.500
0.500 0.000 0.000
0.000 0.000 0.000
```

Values from the calculation:
* energy of formation from the pure elements: 794 meV per atom

This record from Alexandria via LeMat-Bulk describes crystalline BaTl2W at its relaxed geometry. The functional is PBE.

The structure in POSCAR format:
```
BaTl2W
1.0
5.794 0.000 0.000
0.000 5.794 0.000
0.000 0.000 3.127
Tl Ba W
2 1 1
direct
0.000 0.000 0.000
0.500 0.500 0.000
0.000 0.500 0.500
0.500 0.000 0.500
```

Values from the calculation:
* energy of formation from the pure elements: 1040 meV per atom

| no. | density of states at the Fermi level (states/eV/f.u.) |
| --- | --- |
| 1 | 3.736 |
| 2 | 4.221 |
| 3 | 4.542 |
| 4 | 2.627 |
| 5 | 3.328 |
| 6 | 5.827 |
| 7 | 5.104 |
| 8 | 3.967 |